HoTm5Ru3 | PBE-GGA | optimized geometry

```
data_HoTm5Ru3
_cell_length_a 12.1406
_cell_length_b 8.9040
_cell_length_c 9.8254
_cell_angle_alpha 90.00
_cell_angle_beta 112.66
_cell_angle_gamma 90.00
_symmetry_space_group_name_H-M 'C 1 2/m 1'
_symmetry_Int_Tables_number 12
_symmetry_space_group_name_Hall '-C 2y'
loop_
_atom_site_label
_atom_site_type_symbol
_atom_site_fract_x
_atom_site_fract_y
_atom_site_fract_z
Ho1 Ho 0.1026 0.0000 0.3006
Tm1 Tm 0.0000 0.3015 0.0000
Tm2 Tm 0.0686 0.5000 0.3687
Tm3 Tm 0.1653 0.1993 0.6686
Tm4 Tm 0.2327 0.0000 0.0332
Ru1 Ru 0.0000 0.0000 0.0000
Ru2 Ru 0.0000 0.0000 0.5000
Ru3 Ru 0.1642 0.5000 0.6681
Ru4 Ru 0.1673 0.5000 0.1670
```

***

Ho4TmRu5 | PBE-GGA | optimized geometry

```
data_Ho4TmRu5
_cell_length_a 3.3809
_cell_length_b 3.3809
_cell_length_c 16.8668
_cell_angle_alpha 90.00
_cell_angle_beta 90.00
_cell_angle_gamma 90.00
_symmetry_space_group_name_H-M 'P 4/m m m'
_symmetry_Int_Tables_number 123
_symmetry_space_group_name_Hall '-P 4 2'
loop_
_atom_site_label
_atom_site_type_symbol
_atom_site_fract_x
_atom_site_fract_y
_atom_site_fract_z
Ho1 Ho 0.0000 0.0000 0.1003
Ho2 Ho 0.0000 0.0000 0.3010
Tm1 Tm 0.0000 0.0000 0.5000
Ru1 Ru 0.5000 0.5000 0.0000
Ru2 Ru 0.5000 0.5000 0.2006
Ru3 Ru 0.5000 0.5000 0.4013
```

***

Ho4Tm3Ru4 | PBE-GGA | optimized geometry

```
data_Ho4Tm3Ru4
_cell_length_a 3.4828
_cell_length_b 8.7871
_cell_length_c 16.2266
_cell_angle_alpha 90.00
_cell_angle_beta 90.00
_cell_angle_gamma 90.00
_symmetry_space_group_name_H-M 'I m m m'
_symmetry_Int_Tables_number 71
_symmetry_space_group_name_Hall '-I 2 2'
loop_
_atom_site_label
_atom_site_type_symbol
_atom_site_fract_x
_atom_site_fract_y
_atom_site_fract_z
Ho1 Ho 0.0000 0.1914 0.1644
Tm1 Tm 0.0000 0.0000 0.4034
Tm2 Tm 0.0000 0.5000 0.5000
Ru1 Ru 0.0000 0.2775 0.0000
Ru2 Ru 0.0000 0.5000 0.2404
```

***

Ho3TmRu | PBE-GGA | optimized geometry

Values from the calculation:
Offset from the most stable computed form = 0.00 eV per formula unit

```
data_Ho3TmRu
_cell_length_a 11.8749
_cell_length_b 3.8904
_cell_length_c 12.6859
_cell_angle_alpha 90.00
_cell_angle_beta 112.94
_cell_angle_gamma 90.00
_symmetry_space_group_name_H-M 'C 1 m 1'
_symmetry_Int_Tables_number 8
_symmetry_space_group_name_Hall 'C -2y'
loop_
_atom_site_label
_atom_site_type_symbol
_atom_site_fract_x
_atom_site_fract_y
_atom_site_fract_z
Ho1 Ho 0.0000 0.0000 0.0000
Ho2 Ho 0.0273 0.0000 0.3792
Ho3 Ho 0.1907 0.5000 0.2351
Ho4 Ho 0.3010 0.5000 0.5190
Ho5 Ho 0.3339 0.0000 0.7633
Ho6 Ho 0.3658 0.0000 0.1400
Tm1 Tm 0.0574 0.5000 0.6241
Tm2 Tm 0.1744 0.5000 0.9055
Ru1 Ru 0.0025 0.0000 0.7631
Ru2 Ru 0.3623 0.0000 0.3850
```

***

Ho3TmRu3 | PBE-GGA | optimized geometry

Values from the calculation:
Offset from the most stable computed form = 0.00 eV per formula unit

```
data_Ho3TmRu3
_cell_length_a 9.4578
_cell_length_b 9.4578
_cell_length_c 5.8064
_cell_angle_alpha 90.00
_cell_angle_beta 90.00
_cell_angle_gamma 120.00
_symmetry_space_group_name_H-M 'R 3 m'
_symmetry_Int_Tables_number 160
_symmetry_space_group_name_Hall 'R 3 -2"'
loop_
_atom_site_label
_atom_site_type_symbol
_atom_site_fract_x
_atom_site_fract_y
_atom_site_fract_z
Ho1 Ho 0.1953 0.3905 0.0000
Tm1 Tm 0.0000 0.0000 0.7804
Ru1 Ru 0.9997 0.4998 0.1957
```

***

HoTm2Ru | PBE-GGA | optimized geometry

Values from the calculation:
Offset from the most stable computed form = 0.07 eV per formula unit

```
data_HoTm2Ru
_cell_length_a 3.8816
_cell_length_b 11.7598
_cell_length_c 8.9565
_cell_angle_alpha 90.00
_cell_angle_beta 90.00
_cell_angle_gamma 90.00
_symmetry_space_group_name_H-M 'C m c m'
_symmetry_Int_Tables_number 63
_symmetry_space_group_name_Hall '-C 2c 2'
loop_
_atom_site_label
_atom_site_type_symbol
_atom_site_fract_x
_atom_site_fract_y
_atom_site_fract_z
Ho1 Ho 0.0000 0.0742 0.2500
Tm1 Tm 0.0000 0.3565 0.0664
Ru1 Ru 0.0000 0.2572 0.7500
```

***

Ho5TmRu6 | PBE-GGA | optimized geometry

```
data_Ho5TmRu6
_cell_length_a 4.7855
_cell_length_b 6.7680
_cell_length_c 14.2863
_cell_angle_alpha 90.00
_cell_angle_beta 90.00
_cell_angle_gamma 90.00
_symmetry_space_group_name_H-M 'I m m m'
_symmetry_Int_Tables_number 71
_symmetry_space_group_name_Hall '-I 2 2'
loop_
_atom_site_label
_atom_site_type_symbol
_atom_site_fract_x
_atom_site_fract_y
_atom_site_fract_z
Ho1 Ho 0.0000 0.0000 0.0000
Ho2 Ho 0.0000 0.0000 0.3339
Ho3 Ho 0.0000 0.5000 0.3333
Tm1 Tm 0.0000 0.5000 0.0000
Ru1 Ru 0.0000 0.2492 0.5000
Ru2 Ru 0.0000 0.2505 0.1662
```

***

HoTm2Ru | PBE-GGA | optimized geometry

Values from the calculation:
Offset from the most stable computed form = 0.41 eV per formula unit

```
data_HoTm2Ru
_cell_length_a 3.3945
_cell_length_b 3.3945
_cell_length_c 8.7339
_cell_angle_alpha 90.00
_cell_angle_beta 90.00
_cell_angle_gamma 90.00
_symmetry_space_group_name_H-M 'P 4/m m m'
_symmetry_Int_Tables_number 123
_symmetry_space_group_name_Hall '-P 4 2'
loop_
_atom_site_label
_atom_site_type_symbol
_atom_site_fract_x
_atom_site_fract_y
_atom_site_fract_z
Ho1 Ho 0.0000 0.0000 0.0000
Tm1 Tm 0.5000 0.5000 0.3147
Ru1 Ru 0.0000 0.0000 0.5000
```

***

Ho2Tm3Ru2 | PBE-GGA | optimized geometry

```
data_Ho2Tm3Ru2
_cell_length_a 11.7424
_cell_length_b 3.8561
_cell_length_c 8.3838
_cell_angle_alpha 90.00
_cell_angle_beta 113.70
_cell_angle_gamma 90.00
_symmetry_space_group_name_H-M 'C 1 2/m 1'
_symmetry_Int_Tables_number 12
_symmetry_space_group_name_Hall '-C 2y'
loop_
_atom_site_label
_atom_site_type_symbol
_atom_site_fract_x
_atom_site_fract_y
_atom_site_fract_z
Ho1 Ho 0.1637 0.0000 0.3097
Tm1 Tm 0.0000 0.5000 0.5000
Tm2 Tm 0.1225 0.5000 0.9288
Ru1 Ru 0.1774 0.0000 0.7211
```

***

Ho2TmRu | PBE-GGA | optimized geometry

Values from the calculation:
Offset from the most stable computed form = 1.81 eV per formula unit

```
data_Ho2TmRu
_cell_length_a 3.4657
_cell_length_b 3.4657
_cell_length_c 31.6880
_cell_angle_alpha 90.00
_cell_angle_beta 90.00
_cell_angle_gamma 120.00
_symmetry_space_group_name_H-M 'R -3 m'
_symmetry_Int_Tables_number 166
_symmetry_space_group_name_Hall '-R 3 2"'
loop_
_atom_site_label
_atom_site_type_symbol
_atom_site_fract_x
_atom_site_fract_y
_atom_site_fract_z
Ho1 Ho 0.0000 0.0000 0.1064
Tm1 Tm 0.0000 0.0000 0.0000
Ru1 Ru 0.0000 0.0000 0.5000
```

***

Ho2TmRu3 | PBE-GGA | optimized geometry

Values from the calculation:
Offset from the most stable computed form = 0.00 eV per formula unit

```
data_Ho2TmRu3
_cell_length_a 3.3804
_cell_length_b 3.3804
_cell_length_c 10.0726
_cell_angle_alpha 90.00
_cell_angle_beta 90.00
_cell_angle_gamma 90.00
_symmetry_space_group_name_H-M 'P 4/m m m'
_symmetry_Int_Tables_number 123
_symmetry_space_group_name_Hall '-P 4 2'
loop_
_atom_site_label
_atom_site_type_symbol
_atom_site_fract_x
_atom_site_fract_y
_atom_site_fract_z
Ho1 Ho 0.0000 0.0000 0.1676
Tm1 Tm 0.0000 0.0000 0.5000
Ru1 Ru 0.5000 0.5000 0.0000
Ru2 Ru 0.5000 0.5000 0.3350
```

***

HoTm2Ru2 | PBE-GGA | optimized geometry

Values from the calculation:
Offset from the most stable computed form = 0.00 eV per formula unit

```
data_HoTm2Ru2
_cell_length_a 3.3794
_cell_length_b 19.9914
_cell_length_c 3.3523
_cell_angle_alpha 90.00
_cell_angle_beta 90.00
_cell_angle_gamma 90.00
_symmetry_space_group_name_H-M 'C m m m'
_symmetry_Int_Tables_number 65
_symmetry_space_group_name_Hall '-C 2 2'
loop_
_atom_site_label
_atom_site_type_symbol
_atom_site_fract_x
_atom_site_fract_y
_atom_site_fract_z
Ho1 Ho 0.0000 0.0000 0.0000
Tm1 Tm 0.0000 0.1662 0.0000
Ru1 Ru 0.0000 0.4103 0.5000
```

***

Ho2TmU2Ru5 | PBE-GGA | optimized geometry

```
data_Ho2TmU2Ru5
_cell_length_a 10.5536
_cell_length_b 10.5536
_cell_length_c 3.5817
_cell_angle_alpha 90.00
_cell_angle_beta 90.00
_cell_angle_gamma 90.00
_symmetry_space_group_name_H-M 'P 4/m b m'
_symmetry_Int_Tables_number 127
_symmetry_space_group_name_Hall '-P 4 2ab'
loop_
_atom_site_label
_atom_site_type_symbol
_atom_site_fract_x
_atom_site_fract_y
_atom_site_fract_z
Ho1 Ho 0.1737 0.3263 0.0000
Tm1 Tm 0.0000 0.0000 0.0000
U1 U 0.1358 0.6358 0.0000
Ru1 Ru 0.0000 0.5000 0.5000
Ru2 Ru 0.0538 0.7889 0.5000
```

***

HoTm2U2Ru5 | PBE-GGA | optimized geometry

```
data_HoTm2U2Ru5
_cell_length_a 10.5142
_cell_length_b 10.5142
_cell_length_c 3.6036
_cell_angle_alpha 90.00
_cell_angle_beta 90.00
_cell_angle_gamma 90.00
_symmetry_space_group_name_H-M 'P 4/m b m'
_symmetry_Int_Tables_number 127
_symmetry_space_group_name_Hall '-P 4 2ab'
loop_
_atom_site_label
_atom_site_type_symbol
_atom_site_fract_x
_atom_site_fract_y
_atom_site_fract_z
Ho1 Ho 0.0000 0.0000 0.0000
Tm1 Tm 0.1733 0.3267 0.0000
U1 U 0.1349 0.6349 0.0000
Ru1 Ru 0.0000 0.5000 0.5000
Ru2 Ru 0.0547 0.7881 0.5000
```

***

Ho3Tm3ZnRu2 | PBE-GGA | optimized geometry

```
data_Ho3Tm3ZnRu2
_cell_length_a 8.0951
_cell_length_b 8.0951
_cell_length_c 3.7116
_cell_angle_alpha 90.00
_cell_angle_beta 90.00
_cell_angle_gamma 120.00
_symmetry_space_group_name_H-M 'P -6 2 m'
_symmetry_Int_Tables_number 189
_symmetry_space_group_name_Hall 'P -6 -2'
loop_
_atom_site_label
_atom_site_type_symbol
_atom_site_fract_x
_atom_site_fract_y
_atom_site_fract_z
Ho1 Ho 0.0000 0.7216 0.0000
Tm1 Tm 0.0000 0.3979 0.5000
Zn1 Zn 0.0000 0.0000 0.5000
Ru1 Ru 0.3333 0.6667 0.0000
```

***

Ho4URu5 | PBE-GGA | optimized geometry

```
data_Ho4URu5
_cell_length_a 8.7900
_cell_length_b 8.7900
_cell_length_c 5.4616
_cell_angle_alpha 90.00
_cell_angle_beta 90.00
_cell_angle_gamma 90.00
_symmetry_space_group_name_H-M 'I 4'
_symmetry_Int_Tables_number 79
_symmetry_space_group_name_Hall 'I 4'
loop_
_atom_site_label
_atom_site_type_symbol
_atom_site_fract_x
_atom_site_fract_y
_atom_site_fract_z
Ho1 Ho 0.0773 0.6784 0.0000
U1 U 0.0000 0.0000 0.7124
Ru1 Ru 0.0000 0.0000 0.1331
Ru2 Ru 0.1018 0.7724 0.4894
```

***

HoURu3 | PBE-GGA | optimized geometry

Values from the calculation:
Offset from the most stable computed form = 0.00 eV per formula unit

```
data_HoURu3
_cell_length_a 5.8202
_cell_length_b 7.4996
_cell_length_c 8.6986
_cell_angle_alpha 90.00
_cell_angle_beta 90.00
_cell_angle_gamma 90.00
_symmetry_space_group_name_H-M 'I m m a'
_symmetry_Int_Tables_number 74
_symmetry_space_group_name_Hall '-I 2b 2'
loop_
_atom_site_label
_atom_site_type_symbol
_atom_site_fract_x
_atom_site_fract_y
_atom_site_fract_z
Ho1 Ho 0.0000 0.2500 0.0079
U1 U 0.0000 0.0000 0.5000
Ru1 Ru 0.0000 0.2500 0.6856
Ru2 Ru 0.2500 0.0593 0.2500
```

***

Ho2U2Ru3 | PBE-GGA | optimized geometry

```
data_Ho2U2Ru3
_cell_length_a 10.7116
_cell_length_b 3.7987
_cell_length_c 7.3511
_cell_angle_alpha 90.00
_cell_angle_beta 102.90
_cell_angle_gamma 90.00
_symmetry_space_group_name_H-M 'C 1 2/m 1'
_symmetry_Int_Tables_number 12
_symmetry_space_group_name_Hall '-C 2y'
loop_
_atom_site_label
_atom_site_type_symbol
_atom_site_fract_x
_atom_site_fract_y
_atom_site_fract_z
Ho1 Ho 0.1252 0.0000 0.3702
U1 U 0.1635 0.0000 0.9168
Ru1 Ru 0.0000 0.5000 0.0000
Ru2 Ru 0.1076 0.5000 0.6672
```

***

Ho4U2Ru5 | PBE-GGA | optimized geometry

```
data_Ho4U2Ru5
_cell_length_a 8.6830
_cell_length_b 17.7050
_cell_length_c 6.0576
_cell_angle_alpha 90.00
_cell_angle_beta 90.00
_cell_angle_gamma 90.00
_symmetry_space_group_name_H-M 'I b a m'
_symmetry_Int_Tables_number 72
_symmetry_space_group_name_Hall '-I 2 2c'
loop_
_atom_site_label
_atom_site_type_symbol
_atom_site_fract_x
_atom_site_fract_y
_atom_site_fract_z
Ho1 Ho 0.1195 0.1357 0.0000
Ho2 Ho 0.2458 0.0562 0.5000
U1 U 0.0000 0.3045 0.2500
Ru1 Ru 0.0000 0.0000 0.2500
Ru2 Ru 0.0631 0.4182 0.5000
Ru3 Ru 0.1732 0.2229 0.5000
```

***

Ho2URu2 | PBE-GGA | optimized geometry

```
data_Ho2URu2
_cell_length_a 10.0089
_cell_length_b 5.8736
_cell_length_c 7.7239
_cell_angle_alpha 90.00
_cell_angle_beta 100.21
_cell_angle_gamma 90.00
_symmetry_space_group_name_H-M 'C 1 2/c 1'
_symmetry_Int_Tables_number 15
_symmetry_space_group_name_Hall '-C 2yc'
loop_
_atom_site_label
_atom_site_type_symbol
_atom_site_fract_x
_atom_site_fract_y
_atom_site_fract_z
Ho1 Ho 0.1513 0.1296 0.1513
U1 U 0.0000 0.3533 0.7500
Ru1 Ru 0.1244 0.3692 0.5138
```

***

no.,V (Å³ per atom),ΔE_f (eV/atom)
1,27.227,-0.239
2,19.279,-0.365
3,22.573,-0.355
4,26.986,-0.240
5,21.419,-0.404
6,25.553,-0.347
7,19.279,-0.362
8,25.160,-0.261
9,24.828,-0.373
10,27.468,0.102
11,19.183,-0.377
12,22.648,-0.375
13,19.946,-0.299
14,19.919,-0.298
15,23.404,-0.167
16,21.099,-0.175
17,18.985,-0.250
18,20.826,-0.315
19,21.165,-0.286
20,22.344,-0.390